The following is a DFT calculation (PBEsol) of a relaxed YErCu2 crystal.

Summary:
Volume, Å³/cell: 78.3
Final energy, Ry per atom: -0.39298
D(E_F), states/eV per cell: 2.1
ΔE_f, eV per atom: -0.242

```
YErCu2
1.0
0.000 3.396 3.396
3.396 0.000 3.396
3.396 3.396 0.000
Y Er Cu
1 1 2
direct
0.000 0.000 0.000
0.500 0.500 0.500
0.250 0.250 0.250
0.750 0.750 0.750
```

***

The following is a DFT calculation (PBEsol) of a relaxed EuCu5 crystal.

Summary:
Volume, Å³/cell: 88.2
Final energy, Ry per atom: -0.40284
D(E_F), states/eV per cell: 12.8
ΔE_f, eV per atom: -0.109

```
EuCu5
1.0
5.045 0.000 0.000
-2.522 4.369 0.000
0.000 0.000 4.001
Eu Cu
1 5
direct
0.000 0.000 0.000
0.000 0.500 0.500
0.333 0.667 0.000
0.500 0.000 0.500
0.500 0.500 0.500
0.667 0.333 0.000
```

***

The following is a DFT calculation (PBEsol) of a relaxed EuCu crystal.

Summary:
Volume, Å³/cell: 43.9
Final energy, Ry per atom: -0.55140
D(E_F), states/eV per cell: 4.1
ΔE_f, eV per atom: -0.053

```
EuCu
1.0
3.529 0.000 0.000
0.000 3.529 0.000
0.000 0.000 3.529
Eu Cu
1 1
direct
0.000 0.000 0.000
0.500 0.500 0.500
```